! GGA+U KV2BO6, optimized geometry; values from VASP
&SYSTEM
  ibrav = 0, nat = 20, ntyp = 4
/
ATOMIC_SPECIES
K 39.10 K.upf
V 50.94 V.upf
B 10.81 B.upf
O 16.00 O.upf
CELL_PARAMETERS angstrom
6.293 0.296 0.307
2.331 6.941 0.096
2.331 -0.161 6.940
ATOMIC_POSITIONS angstrom
K 3.904 5.939 1.210
K 7.051 1.137 6.134
V 5.620 5.500 4.558
V 2.189 2.576 1.524
V 5.335 1.575 2.785
V 8.766 4.500 5.819
B 3.904 1.427 5.558
B 7.051 5.649 1.785
O 3.290 0.079 5.439
O 4.518 1.495 6.909
O 7.665 6.996 1.904
O 6.436 5.580 0.434
O 6.008 5.462 2.807
O 8.093 4.621 1.934
O 4.947 1.613 4.536
O 2.862 2.454 5.409
O 3.818 5.069 4.598
O 3.991 2.521 1.954
O 7.137 2.007 2.745
O 6.964 4.555 5.389
! theoretical density	2.80	g/cm3
! DFT total energy	-72.772	eV/f.u.
! crystal system	monoclinic